This record from OQMD describes a geometry-optimized YLu2In3Ir2 structure. The functional is PBE.

a = 3.601 Å, b = 7.603 Å, c = 7.603 Å
α = 120.41°, β = 90.00°, γ = 90.00°
Element x y z (fractional)
Lu: 0.500 0.000 0.577
Lu: 0.500 0.577 0.000
Y: 0.500 0.421 0.421
Ir: 0.000 0.671 0.332
Ir: 0.000 0.332 0.671
In: 0.000 0.766 0.766
In: 0.000 0.998 0.235
In: 0.000 0.235 0.998

Computed properties:
spin magnetization: 0.0 μB per formula unit
V: 22.4 Å³/atom
total energy: -46.7 eV for the cell shown
symmetry: Amm2, No. 38